# PBE Pm2SmTlC, relaxed
# Energy of formation from the pure elements = -0.33 eV per atom
data_Pm2SmTlC
_chemical_formula_sum 'Pm2 Sm1 Tl1 C1'
_cell_length_a 5.059
_cell_length_b 5.087
_cell_length_c 5.087
_cell_angle_alpha 90.00
_cell_angle_beta 90.00
_cell_angle_gamma 90.00
_space_group_name_H-M_alt 'P 1'
_space_group_IT_number 1
_space_group_name_Hall 'P 1'
loop_
_atom_site_label
_atom_site_type_symbol
_atom_site_fract_x
_atom_site_fract_y
_atom_site_fract_z
Pm1 Pm 0.000 0.000 0.500
Pm2 Pm 0.000 0.500 0.000
Sm1 Sm 0.500 0.000 0.000
Tl1 Tl 0.500 0.500 0.500
C1 C 0.000 0.000 0.000

# PBE CsSbSeI2, relaxed
# Offset from the most stable computed form = 397.9 meV per atom
data_CsSbSeI2
_chemical_formula_sum 'Cs1 Sb1 Se1 I2'
_cell_length_a 6.244
_cell_length_b 6.244
_cell_length_c 5.591
_cell_angle_alpha 90.00
_cell_angle_beta 90.00
_cell_angle_gamma 90.00
_space_group_name_H-M_alt 'P 1'
_space_group_IT_number 1
_space_group_name_Hall 'P 1'
loop_
_atom_site_label
_atom_site_type_symbol
_atom_site_fract_x
_atom_site_fract_y
_atom_site_fract_z
Cs1 Cs 0.500 0.500 0.500
I1 I 0.000 0.500 0.000
I2 I 0.500 0.000 0.000
Se1 Se 0.000 0.000 0.000
Sb1 Sb 0.000 0.000 0.500

# PBE Tb2YHoTm, relaxed
# Energy of formation from the pure elements = 0.40 eV per atom
data_Tb2YHoTm
_chemical_formula_sum 'Tb4 Y2 Ho2 Tm2'
_cell_length_a 7.190
_cell_length_b 8.317
_cell_length_c 7.058
_cell_angle_alpha 126.10
_cell_angle_beta 90.00
_cell_angle_gamma 90.00
_space_group_name_H-M_alt 'P 1'
_space_group_IT_number 1
_space_group_name_Hall 'P 1'
loop_
_atom_site_label
_atom_site_type_symbol
_atom_site_fract_x
_atom_site_fract_y
_atom_site_fract_z
Tb1 Tb 0.500 0.307 0.000
Tb2 Tb 0.000 0.693 0.000
Tb3 Tb 0.500 0.693 0.000
Tb4 Tb 0.000 0.307 0.000
Y1 Y 0.750 0.733 0.467
Y2 Y 0.250 0.267 0.533
Ho1 Ho 0.250 0.717 0.435
Ho2 Ho 0.750 0.283 0.565
Tm1 Tm 0.250 0.987 0.975
Tm2 Tm 0.750 0.013 0.025

# PBE CeHgBiPb, relaxed
# Offset from the most stable computed form = 0.0 meV per atom
# Energy of formation from the pure elements = -0.42 eV per atom
data_CeHgBiPb
_chemical_formula_sum 'Ce1 Hg1 Bi1 Pb1'
_cell_length_a 4.634
_cell_length_b 4.816
_cell_length_c 5.067
_cell_angle_alpha 90.00
_cell_angle_beta 90.00
_cell_angle_gamma 90.00
_space_group_name_H-M_alt 'P 1'
_space_group_IT_number 1
_space_group_name_Hall 'P 1'
loop_
_atom_site_label
_atom_site_type_symbol
_atom_site_fract_x
_atom_site_fract_y
_atom_site_fract_z
Ce1 Ce 0.500 0.000 0.500
Hg1 Hg 0.500 0.500 0.000
Bi1 Bi 0.000 0.500 0.500
Pb1 Pb 0.000 0.000 0.000

Below is an optimized crystal structure of Cs2BaTaS4, with properties calculated at the PBE level.

```
data_Cs2BaTaS4
_chemical_formula_sum 'Cs2 Ba1 Ta1 S4'
_cell_length_a 7.399
_cell_length_b 7.399
_cell_length_c 7.399
_cell_angle_alpha 100.26
_cell_angle_beta 114.26
_cell_angle_gamma 114.26
_space_group_name_H-M_alt 'P 1'
_space_group_IT_number 1
_space_group_name_Hall 'P 1'
loop_
_atom_site_label
_atom_site_type_symbol
_atom_site_fract_x
_atom_site_fract_y
_atom_site_fract_z
Cs1 Cs 0.500 0.750 0.250
Cs2 Cs 0.000 0.000 0.000
Ba1 Ba 0.500 0.250 0.750
Ta1 Ta 0.000 0.500 0.500
S1 S 0.630 0.405 0.443
S2 S 0.038 0.225 0.595
S3 S 0.962 0.557 0.187
S4 S 0.370 0.813 0.775
```

Respective final energy values: -5.49 -2.58 -4.55 -3.87 -5.24 eV/atom.